Density functional theory data (PBE with a Hubbard U) for PaCuNi2O6 after structural relaxation.

```
data_PaCuNi2O6
_cell_length_a 5.8672
_cell_length_b 5.8672
_cell_length_c 4.2229
_cell_angle_alpha 90.00
_cell_angle_beta 90.00
_cell_angle_gamma 90.00
_symmetry_space_group_name_H-M 'P 1'
_symmetry_Int_Tables_number 1
loop_
_symmetry_equiv_pos_as_xyz
'x,y,z'
loop_
_atom_site_label
_atom_site_type_symbol
_atom_site_fract_x
_atom_site_fract_y
_atom_site_fract_z
Pa1 Pa 0.0000 0.0000 0.0000
Cu1 Cu 0.5000 0.5000 0.0370
Ni1 Ni 0.0000 0.5000 0.1665
Ni2 Ni 0.5000 0.0000 0.1665
O1 O 0.0000 0.0000 0.5138
O2 O 0.2588 0.2588 0.0760
O3 O 0.2588 0.7412 0.0760
O4 O 0.5000 0.5000 0.5606
O5 O 0.7412 0.2588 0.0760
O6 O 0.7412 0.7412 0.0760
```

Results
final energy = -6.10 eV per atom